The following is a PBE calculation of a relaxed CrSi3N crystal, from the Alexandria database.

Calculated values
space group: No. 221
formation energy from raw total energies: 0.562 eV per atom
distance to the lowest polymorph of the same formula: 0.00 kcal/mol of atoms

Unit cell a=3.9453 b=3.9453 c=3.9453 alpha=90.00 beta=90.00 gamma=90.00
With the nearest neighbours (Å) after each atom.
Atoms (fractional coordinates):
Cr  0.0000  0.0000  0.0000  12 Si 2.79
Si  0.0000  0.5000  0.5000  2 N 1.97
Si  0.5000  0.0000  0.5000  2 N 1.97
Si  0.5000  0.5000  0.0000  2 N 1.97
N  0.5000  0.5000  0.5000  6 Si 1.97



The following is a PBE calculation of a relaxed Cr2SiN crystal, from the Alexandria database.

Calculated values
space group: No. 166
formation energy from raw total energies: -0.356 eV per atom
distance to the lowest polymorph of the same formula: 0.00 kcal/mol of atoms

Unit cell a=6.3246 b=6.3246 c=6.3246 alpha=25.76 beta=25.76 gamma=25.76
With the nearest neighbours (Å) after each atom.
Atoms (fractional coordinates):
Cr  0.2246  0.2246  0.2246  3 N 1.94
Cr  0.7754  0.7754  0.7754  3 N 1.94
Si  0.0000  0.0000  0.0000  6 Cr 2.57, 6 Si 2.82
N  0.5000  0.5000  0.5000  6 Cr 1.94



The following is a PBE calculation of a relaxed Cr2SiN crystal, from the Alexandria database.

Calculated values
space group: No. 225
formation energy from raw total energies: 0.657 eV per atom
distance to the lowest polymorph of the same formula: 23.35 kcal/mol of atoms

Unit cell a=3.9205 b=3.9205 c=3.9205 alpha=60.00 beta=60.00 gamma=60.00
With the nearest neighbours (Å) after each atom.
Atoms (fractional coordinates):
Cr  0.2500  0.2500  0.2500  4 Si 2.40, 4 N 2.40
Cr  0.7500  0.7500  0.7500  4 Si 2.40, 4 N 2.40
Si  0.0000  0.0000  0.0000  8 Cr 2.40
N  0.5000  0.5000  0.5000  8 Cr 2.40



The following is a PBE calculation of a relaxed Cr3SiN crystal, from the Alexandria database.

Calculated values
space group: No. 221
formation energy from raw total energies: -0.315 eV per atom
distance to the lowest polymorph of the same formula: 0.00 kcal/mol of atoms

Unit cell a=3.7855 b=3.7855 c=3.7855 alpha=90.00 beta=90.00 gamma=90.00
With the nearest neighbours (Å) after each atom.
Atoms (fractional coordinates):
Cr  0.0000  0.0000  0.5000  2 N 1.89
Cr  0.0000  0.5000  0.0000  2 N 1.89
Cr  0.5000  0.0000  0.0000  2 N 1.89
Si  0.5000  0.5000  0.5000  12 Cr 2.68
N  0.0000  0.0000  0.0000  6 Cr 1.89



The following is a PBE calculation of a relaxed Cr2SiN crystal, from the Alexandria database.

Calculated values
space group: No. 122
formation energy from raw total energies: -0.025 eV per atom
distance to the lowest polymorph of the same formula: 7.63 kcal/mol of atoms

Unit cell a=4.9569 b=4.9569 c=4.9569 alpha=102.11 beta=102.11 gamma=125.49
With the nearest neighbours (Å) after each atom.
Atoms (fractional coordinates):
Cr  0.0224  0.6250  0.8974  2 N 1.90
Cr  0.3750  0.2724  0.3974  2 N 1.90
Cr  0.7276  0.1250  0.1026  2 N 1.90
Cr  0.8750  0.9776  0.6026  2 N 1.90
Si  0.2500  0.7500  0.5000  2 N 2.27, 4 Cr 2.48
Si  0.5000  0.5000  0.0000  2 N 2.27, 4 Cr 2.48
N  0.0000  0.0000  0.0000  4 Cr 1.90
N  0.7500  0.2500  0.5000  4 Cr 1.90



The following is a PBE calculation of a relaxed Sr2CrSiN crystal, from the Alexandria database.

Calculated values
space group: No. 123
formation energy from raw total energies: 0.849 eV per atom

Unit cell a=5.8772 b=5.8772 c=4.6188 alpha=90.00 beta=90.00 gamma=90.00
With the nearest neighbours (Å) after each atom.
Atoms (fractional coordinates):
Sr  0.0000  0.5000  0.0000  2 Si 2.94
Sr  0.5000  0.0000  0.0000  2 Si 2.94
Cr  0.0000  0.0000  0.5000  2 Si 2.31
Si  0.0000  0.0000  0.0000  2 Cr 2.31
N  0.5000  0.5000  0.5000  8 Sr 3.74, 4 Cr 4.16



The following is a PBE calculation of a relaxed CrSiTe2N crystal, from the Alexandria database.

Calculated values
space group: No. 123
formation energy from raw total energies: 0.359 eV per atom
distance to the lowest polymorph of the same formula: 0.28 kcal/mol of atoms

Unit cell a=5.3460 b=5.3460 c=3.5300 alpha=90.00 beta=90.00 gamma=90.00
With the nearest neighbours (Å) after each atom.
Atoms (fractional coordinates):
Cr  0.0000  0.0000  0.0000  2 N 1.76
Si  0.5000  0.5000  0.5000  8 Te 3.20, 2 Si 3.53
Te  0.0000  0.5000  0.0000  2 Cr 2.67
Te  0.5000  0.0000  0.0000  2 Cr 2.67
N  0.0000  0.0000  0.5000  2 Cr 1.76



The following is a PBE calculation of a relaxed CrSiTe2N crystal, from the Alexandria database.

Calculated values
space group: No. 123
formation energy from raw total energies: 0.346 eV per atom
distance to the lowest polymorph of the same formula: 0.00 kcal/mol of atoms

Unit cell a=5.5757 b=5.5757 c=3.2911 alpha=90.00 beta=90.00 gamma=90.00
With the nearest neighbours (Å) after each atom.
Atoms (fractional coordinates):
Cr  0.0000  0.0000  0.0000  8 Te 3.24, 2 Cr 3.29
Si  0.5000  0.5000  0.5000  2 N 1.65
Te  0.0000  0.5000  0.5000  2 Si 2.79
Te  0.5000  0.0000  0.5000  2 Si 2.79
N  0.5000  0.5000  0.0000  2 Si 1.65